[1]
# CaAgSb2 (PBE, optimized geometry)
# size of the total moment: 0.00 μB/f.u.
# formation energy from raw total energies: -1.4 eV/f.u.
data_CaAgSb2
_chemical_formula_sum 'Ca2 Ag2 Sb4'
_symmetry_space_group_name_H-M 'C 1 m 1'
_symmetry_Int_Tables_number 8
_cell_length_a 11.3460
_cell_length_b 4.5383
_cell_length_c 4.7181
_cell_angle_alpha 90.00
_cell_angle_beta 110.03
_cell_angle_gamma 90.00
loop_
_symmetry_equiv_pos_as_xyz
'x,y,z'
'x,-y,z'
'x+1/2,y+1/2,z'
'x+1/2,-y+1/2,z'
loop_
_atom_site_label
_atom_site_type_symbol
_atom_site_fract_x
_atom_site_fract_y
_atom_site_fract_z
Ca1 Ca 0.0000 0.0000 0.0000
Ag1 Ag 0.2783 0.0000 0.7407
Sb1 Sb 0.1945 0.5000 0.9529
Sb2 Sb 0.4561 0.0000 0.4561


[2]
# CaAgSb2Se4 (PBE, optimized geometry)
# size of the total moment: 0.00 μB/f.u.
# formation energy from raw total energies: -4.1 eV/f.u.
data_CaAgSb2Se4
_chemical_formula_sum 'Ca4 Ag4 Sb8 Se16'
_symmetry_space_group_name_H-M 'C m c m'
_symmetry_Int_Tables_number 63
_symmetry_space_group_name_Hall '-C 2c 2'
_cell_length_a 4.4191
_cell_length_b 13.4339
_cell_length_c 14.1020
_cell_angle_alpha 90.00
_cell_angle_beta 90.00
_cell_angle_gamma 90.00
loop_
_atom_site_label
_atom_site_type_symbol
_atom_site_fract_x
_atom_site_fract_y
_atom_site_fract_z
Ca1 Ca 0.0000 0.1322 0.2500
Ag1 Ag 0.0000 0.1268 0.7500
Sb1 Sb 0.0000 0.3760 0.0539
Se1 Se 0.0000 0.0000 0.0000
Se2 Se 0.0000 0.2754 0.6170
Se3 Se 0.0000 0.4791 0.2500


[3]
# SrCaAg2Sb2 (PBE, optimized geometry)
# size of the total moment: 0.00 μB/f.u.
# formation energy from raw total energies: -4.3 eV/f.u.
data_SrCaAg2Sb2
_chemical_formula_sum 'Sr1 Ca1 Ag2 Sb2'
_symmetry_space_group_name_H-M 'P -3 m 1'
_symmetry_Int_Tables_number 164
_symmetry_space_group_name_Hall '-P 3 2"'
_cell_length_a 4.7802
_cell_length_b 4.7802
_cell_length_c 8.3288
_cell_angle_alpha 90.00
_cell_angle_beta 90.00
_cell_angle_gamma 120.00
loop_
_atom_site_label
_atom_site_type_symbol
_atom_site_fract_x
_atom_site_fract_y
_atom_site_fract_z
Sr1 Sr 0.0000 0.0000 0.0000
Ca1 Ca 0.0000 0.0000 0.5000
Ag1 Ag 0.3333 0.6667 0.7218
Sb1 Sb 0.3333 0.6667 0.2578


[4]
# CaTc2AgSb (PBE, optimized geometry)
# size of the total moment: 3.73 μB/f.u.
# formation energy from raw total energies: 9.6 eV/f.u.
data_CaTc2AgSb
_chemical_formula_sum 'Ca1 Tc2 Ag1 Sb1'
_symmetry_space_group_name_H-M 'P 4/m m m'
_symmetry_Int_Tables_number 123
_symmetry_space_group_name_Hall '-P 4 2'
_cell_length_a 4.8304
_cell_length_b 4.8304
_cell_length_c 5.0451
_cell_angle_alpha 90.00
_cell_angle_beta 90.00
_cell_angle_gamma 90.00
loop_
_atom_site_label
_atom_site_type_symbol
_atom_site_fract_x
_atom_site_fract_y
_atom_site_fract_z
Ca1 Ca 0.0000 0.0000 0.0000
Tc1 Tc 0.0000 0.5000 0.0000
Ag1 Ag 0.0000 0.0000 0.5000
Sb1 Sb 0.5000 0.5000 0.5000


[5]
# CaAgSbTe2 (PBE, optimized geometry)
# size of the total moment: 0.00 μB/f.u.
# formation energy from raw total energies: -0.3 eV/f.u.
# energy above the lowest structure with this stoichiometry: 0 meV per atom
data_CaAgSbTe2
_chemical_formula_sum 'Ca1 Ag1 Sb1 Te2'
_symmetry_space_group_name_H-M 'P 4/m m m'
_symmetry_Int_Tables_number 123
_symmetry_space_group_name_Hall '-P 4 2'
_cell_length_a 5.6201
_cell_length_b 5.6201
_cell_length_c 5.2027
_cell_angle_alpha 90.00
_cell_angle_beta 90.00
_cell_angle_gamma 90.00
loop_
_atom_site_label
_atom_site_type_symbol
_atom_site_fract_x
_atom_site_fract_y
_atom_site_fract_z
Ca1 Ca 0.0000 0.0000 0.0000
Ag1 Ag 0.5000 0.5000 0.5000
Sb1 Sb 0.5000 0.5000 0.0000
Te1 Te 0.0000 0.5000 0.5000


[6]
# CaAgSbTe2 (PBE, optimized geometry)
# size of the total moment: 0.00 μB/f.u.
# formation energy from raw total energies: 2.0 eV/f.u.
# energy above the lowest structure with this stoichiometry: 469 meV per atom
data_CaAgSbTe2
_chemical_formula_sum 'Ca1 Ag1 Sb1 Te2'
_symmetry_space_group_name_H-M 'P 4/m m m'
_symmetry_Int_Tables_number 123
_symmetry_space_group_name_Hall '-P 4 2'
_cell_length_a 5.7935
_cell_length_b 5.7935
_cell_length_c 5.7700
_cell_angle_alpha 90.00
_cell_angle_beta 90.00
_cell_angle_gamma 90.00
loop_
_atom_site_label
_atom_site_type_symbol
_atom_site_fract_x
_atom_site_fract_y
_atom_site_fract_z
Ca1 Ca 0.0000 0.0000 0.0000
Ag1 Ag 0.5000 0.5000 0.5000
Sb1 Sb 0.0000 0.0000 0.5000
Te1 Te 0.0000 0.5000 0.0000